A plane-wave DFT calculation with PBE-GGA was carried out for a relaxed structure of LiCrAu. Values from VASP.

Summary:
SG = Cmcm
E = -28.84 eV per cell
density of states at the Fermi level = 3.08 states/eV/cell
V = 94.7 Å³ per cell
formation energy from the elements = 132 meV per atom
ρ = 9.0 g/cm3

Quantum ESPRESSO input file:
```
&SYSTEM
  ibrav = 0, nat = 6, ntyp = 3
/
ATOMIC_SPECIES
Li 6.94 Li.upf
Cr 52.00 Cr.upf
Au 196.97 Au.upf
ATOMIC_POSITIONS crystal
Li 0.168 0.832 0.750
Li 0.832 0.168 0.250
Cr 0.166 0.834 0.250
Cr 0.834 0.166 0.750
Au 0.500 0.500 0.000
Au 0.500 0.500 0.500
CELL_PARAMETERS angstrom
2.211 -3.812 0.000
2.211 3.812 0.000
0.000 0.000 5.622
```